Record 1
Compound: ZnGe2Mo
Source: Alexandria via LeMat-Bulk
Functional: PBE
Structure: relaxed

abc: 8.382 8.382 8.382
angles: 21.19 21.19 21.19
Sites, in units of the cell vectors:
Zn1 0.000 0.000 0.000
Ge1 0.578 0.578 0.578
Ge2 0.753 0.753 0.753
Mo1 0.165 0.165 0.165

SG: R3m (160)
Formation energy: 0.176 eV per atom

=====

Record 2
Compound: ZnGe3Mo
Source: Alexandria via LeMat-Bulk
Functional: PBE
Structure: relaxed

abc: 4.763 4.763 4.763
angles: 90.00 90.00 90.00
Sites, in units of the cell vectors:
Zn1 0.000 0.000 0.000
Ge1 0.000 0.000 0.500
Ge2 0.000 0.500 0.000
Ge3 0.500 0.000 0.000
Mo1 0.500 0.500 0.500

SG: Pm-3m (221)
Formation energy: 1.131 eV per atom

=====

Record 3
Compound: ZrGe2Mo
Source: Alexandria via LeMat-Bulk
Functional: PBE
Structure: relaxed

abc: 4.584 4.584 4.584
angles: 60.00 60.00 60.00
Sites, in units of the cell vectors:
Zr1 0.000 0.000 0.000
Ge1 0.250 0.250 0.250
Ge2 0.750 0.750 0.750
Mo1 0.500 0.500 0.500

SG: Fm-3m (225)
Formation energy: -0.196 eV per atom

=====

Record 4
Compound: ZrGe3Mo
Source: Alexandria via LeMat-Bulk
Functional: PBE
Structure: relaxed

abc: 4.809 4.809 4.809
angles: 90.00 90.00 90.00
Sites, in units of the cell vectors:
Zr1 0.000 0.000 0.000
Ge1 0.000 0.500 0.500
Ge2 0.500 0.000 0.500
Ge3 0.500 0.500 0.000
Mo1 0.500 0.500 0.500

SG: Pm-3m (221)
Formation energy: 0.561 eV per atom

=====

Record 5
Compound: Zr2Ge2Mo
Source: Alexandria via LeMat-Bulk
Functional: PBE
Structure: relaxed

abc: 6.857 6.857 3.849
angles: 90.00 90.00 90.00
Sites, in units of the cell vectors:
Zr1 0.173 0.327 0.000
Zr2 0.327 0.827 0.000
Zr3 0.673 0.173 0.000
Zr4 0.827 0.673 0.000
Ge1 0.132 0.632 0.500
Ge2 0.368 0.132 0.500
Ge3 0.632 0.868 0.500
Ge4 0.868 0.368 0.500
Mo1 0.000 0.000 0.500
Mo2 0.500 0.500 0.500

SG: P4/mbm (127)
Formation energy: -0.677 eV per atom

=====

Record 6
Compound: Zr2Ge4Mo3
Source: Alexandria via LeMat-Bulk
Functional: PBE
Structure: relaxed

abc: 6.873 6.920 6.799
angles: 90.00 109.81 90.00
Sites, in units of the cell vectors:
Zr1 0.191 0.169 0.055
Zr2 0.191 0.331 0.555
Zr3 0.809 0.669 0.445
Zr4 0.809 0.831 0.945
Ge1 0.088 0.545 0.853
Ge2 0.088 0.955 0.353
Ge3 0.499 0.638 0.636
Ge4 0.499 0.862 0.136
Ge5 0.501 0.138 0.864
Ge6 0.501 0.362 0.364
Ge7 0.912 0.045 0.647
Ge8 0.912 0.455 0.147
Mo1 0.244 0.656 0.250
Mo2 0.244 0.844 0.750
Mo3 0.500 0.000 0.500
Mo4 0.500 0.500 0.000
Mo5 0.756 0.156 0.250
Mo6 0.756 0.344 0.750

SG: P2_1/c (14)
Formation energy: -0.465 eV per atom

=====

Record 7
Compound: ZrGeMo
Source: Alexandria via LeMat-Bulk
Functional: PBE
Structure: relaxed

abc: 4.693 4.693 2.838
angles: 90.00 90.00 120.00
Sites, in units of the cell vectors:
Zr1 0.000 0.000 0.000
Ge1 0.333 0.667 0.500
Mo1 0.667 0.333 0.500

SG: P-6m2 (187)
Formation energy: -0.084 eV per atom

=====

Record 8
Compound: ZrGe2Mo
Source: Alexandria via LeMat-Bulk
Functional: PBE
Structure: relaxed

abc: 9.992 9.992 9.992
angles: 157.08 157.08 32.64
Sites, in units of the cell vectors:
Zr1 0.000 0.000 0.000
Zr2 0.750 0.250 0.500
Ge1 0.142 0.625 0.017
Ge2 0.375 0.392 0.517
Ge3 0.608 0.125 0.983
Ge4 0.875 0.858 0.483
Mo1 0.250 0.750 0.500
Mo2 0.500 0.500 0.000

SG: I-42d (122)
Formation energy: 0.142 eV per atom

=====

Record 9
Compound: ZrGeMo
Source: Alexandria via LeMat-Bulk
Functional: PBE
Structure: relaxed

abc: 5.425 5.425 7.137
angles: 121.19 121.19 37.83
Sites, in units of the cell vectors:
Zr1 0.074 0.074 0.308
Zr2 0.926 0.926 0.692
Ge1 0.358 0.358 0.333
Ge2 0.642 0.642 0.667
Mo1 0.328 0.328 0.939
Mo2 0.672 0.672 0.061

SG: C2/m (12)
Formation energy: -0.437 eV per atom

=====

Record 10
Compound: Zr2GeMo
Source: Alexandria via LeMat-Bulk
Functional: PBE
Structure: relaxed

abc: 6.030 6.030 6.030
angles: 102.76 102.76 123.93
Sites, in units of the cell vectors:
Zr1 0.117 0.125 0.492
Zr2 0.375 0.883 0.008
Zr3 0.633 0.625 0.508
Zr4 0.875 0.367 0.992
Ge1 0.250 0.750 0.500
Ge2 0.500 0.500 0.000
Mo1 0.000 0.000 0.000
Mo2 0.750 0.250 0.500

SG: I-42d (122)
Formation energy: 0.277 eV per atom

=====

Number 1: mass density 7.6 g cm⁻³, uncorrected energy -20.64 eV per cell. Number 2: mass density 5.8 g cm⁻³, uncorrected energy -20.30 eV per cell. Number 3: mass density 8.1 g cm⁻³, uncorrected energy -29.40 eV per cell. Number 4: mass density 6.0 g cm⁻³, uncorrected energy -30.42 eV per cell. Number 5: mass density 7.8 g cm⁻³, uncorrected energy -81.10 eV per cell. Number 6: mass density 8.3 g cm⁻³, uncorrected energy -144.49 eV per cell. Number 7: mass density 8.0 g cm⁻³, uncorrected energy -24.25 eV per cell. Number 8: mass density 7.3 g cm⁻³, uncorrected energy -56.09 eV per cell. Number 9: mass density 8.0 g cm⁻³, uncorrected energy -50.62 eV per cell. Number 10: mass density 7.3 g cm⁻³, uncorrected energy -62.87 eV per cell.